[1]
# LiAg2Br

A crystal of LiAg2Br relaxed with PBEsol (SCAN, Alexandria via LeMat-Bulk).

The value obtained for the relative energy among the computed polymorphs is 0.0000 eV/atom. As for the uncorrected formation energy: -0.475 eV/atom. The total energy is -21.621 eV/atom.

The structure belongs to space group Pm (No. 6); the cell edges are 3.496, 3.442 and 6.680 Å and the angles 90.00°, 104.99° and 90.00°. The asymmetric unit holds Li at (0.000, 0.000, 0.000), Ag at (0.229, 0.000, 0.462), Ag at (0.637, 0.500, 0.277) and Br at (0.422, 0.500, 0.843).

---

[2]
# LiAgBrN2

A crystal of LiAgBrN2 relaxed with PBEsol (SCAN, Alexandria via LeMat-Bulk).

As for the uncorrected formation energy: 1.362 eV/atom. The total energy is -12.998 eV/atom.

The structure belongs to space group P4/mmm (No. 123); the cell edges are 3.786, 3.786 and 5.636 Å and the angles 90.00°, 90.00° and 90.00°. The asymmetric unit holds Li at (0.000, 0.000, 0.000), Ag at (0.000, 0.000, 0.500), Br at (0.500, 0.500, 0.500) and N at (0.000, 0.500, 0.000).

---

[3]
# MgAg2Br

A crystal of MgAg2Br relaxed with PBEsol (SCAN, Alexandria via LeMat-Bulk).

As for the uncorrected formation energy: 0.039 eV/atom. The total energy is -21.753 eV/atom.

The structure belongs to space group I-4m2 (No. 119); the cell edges are 4.043, 4.043 and 9.772 Å and the angles 90.00°, 90.00° and 90.00°. The asymmetric unit holds Mg at (0.000, 0.000, 0.000), Ag at (0.000, 0.000, 0.500), Ag at (0.000, 0.500, 0.250) and Br at (0.000, 0.500, 0.750).

---

The records above yield N(E_F) values of 0.5; 1.2; 2.5 states/eV per cell, respectively.
The records above yield volume values of 19.41; 16.16; 19.97 Å³ per atom, respectively.